(1)
DFT (PBE-GGA) results for a relaxed structure of LiNbTe3Au.

Results
E_tot ... -4.446 eV per atom
Magnetization ... 0.44 μB per formula unit

Cell: 3.750 14.443 10.538 Å, 90.00 90.00 90.00°
Space group Cmcm (No. 63)
Unique sites:
Li 0.000 0.203 0.250 [4 per cell]
Nb 0.000 0.000 0.000 [4 per cell]
Te 0.000 0.105 0.750 [4 per cell]
Te 0.000 0.353 0.540 [8 per cell]
Au 0.000 0.460 0.750 [4 per cell]



(2)
DFT (PBE-GGA) results for a relaxed structure of Li3Nd2Au2.

Results
E_tot ... -3.591 eV per atom
Magnetization ... 0.01 μB per formula unit

Cell: 10.501 4.313 7.466 Å, 90.00 112.92 90.00°
Space group C2/m (No. 12)
Unique sites:
Li 0.000 0.000 0.000 [2 per cell]
Li 0.143 0.000 0.437 [4 per cell]
Nd 0.139 0.500 0.776 [4 per cell]
Au 0.147 0.500 0.200 [4 per cell]



(3)
DFT (PBE-GGA) results for a relaxed structure of LiNdAu3O4.

Results
E_tot ... -4.447 eV per atom
Magnetization ... 0.02 μB per formula unit

Cell: 5.502 5.502 5.502 Å, 90.00 90.00 90.00°
Space group P-43m (No. 215)
Unique sites:
Li 0.000 0.000 0.000 [1 per cell]
Nd 0.500 0.500 0.500 [1 per cell]
Au 0.000 0.500 0.500 [3 per cell]
O 0.253 0.253 0.253 [4 per cell]



(4)
DFT (PBE-GGA) results for a relaxed structure of LiNd2AuSe2O2.

Results
E_tot ... -6.042 eV per atom
Magnetization ... 0.00 μB per formula unit

Cell: 4.056 4.056 9.044 Å, 90.00 90.00 90.00°
Space group P-4m2 (No. 115)
Unique sites:
Li 0.000 0.000 0.000 [1 per cell]
Nd 0.000 0.500 0.370 [2 per cell]
Au 0.500 0.500 0.000 [1 per cell]
Se 0.000 0.500 0.808 [2 per cell]
O 0.000 0.000 0.500 [1 per cell]
O 0.500 0.500 0.500 [1 per cell]



(5)
DFT (PBE-GGA) results for a relaxed structure of LiNdAu3S4.

Results
E_tot ... -4.176 eV per atom
Magnetization ... 0.00 μB per formula unit

Cell: 6.031 6.031 6.031 Å, 90.00 90.00 90.00°
Space group P-43m (No. 215)
Unique sites:
Li 0.000 0.000 0.000 [1 per cell]
Nd 0.500 0.500 0.500 [1 per cell]
Au 0.000 0.500 0.500 [3 per cell]
S 0.241 0.241 0.241 [4 per cell]



(6)
DFT (PBE-GGA) results for a relaxed structure of LiNdAu3Se4.

Results
E_tot ... -3.962 eV per atom
Magnetization ... 0.00 μB per formula unit

Cell: 6.238 6.238 6.238 Å, 90.00 90.00 90.00°
Space group P-43m (No. 215)
Unique sites:
Li 0.000 0.000 0.000 [1 per cell]
Nd 0.500 0.500 0.500 [1 per cell]
Au 0.000 0.500 0.500 [3 per cell]
Se 0.240 0.240 0.240 [4 per cell]



(7)
DFT (PBE-GGA) results for a relaxed structure of Li4NiPb2Au.

Results
E_tot ... -3.285 eV per atom
Magnetization ... 0.00 μB per formula unit

Cell: 4.551 4.551 6.518 Å, 90.00 90.00 90.00°
Space group P-4m2 (No. 115)
Unique sites:
Li 0.000 0.000 0.000 [1 per cell]
Li 0.000 0.500 0.248 [2 per cell]
Li 0.500 0.500 0.500 [1 per cell]
Ni 0.500 0.500 0.000 [1 per cell]
Pb 0.000 0.500 0.778 [2 per cell]
Au 0.000 0.000 0.500 [1 per cell]



(8)
DFT (PBE-GGA) results for a relaxed structure of LiNiAuSe2S.

Results
E_tot ... -3.907 eV per atom
Magnetization ... 0.00 μB per formula unit

Cell: 3.422 13.484 9.733 Å, 90.00 90.00 90.00°
Space group Cmcm (No. 63)
Unique sites:
Li 0.000 0.186 0.250 [4 per cell]
Ni 0.000 0.500 0.000 [4 per cell]
Au 0.000 0.153 0.750 [4 per cell]
Se 0.000 0.123 0.504 [8 per cell]
S 0.000 0.453 0.750 [4 per cell]